1.
Entry from Alexandria: an optimized crystal structure of MoP4 (PBE-GGA).

As for the calculated volume: 16.4 Å³/atom. For the total energy, the calculation gives -136.6 eV per cell. Its crystal system is monoclinic.

The structure belongs to space group C2/c (No. 15); the cell edges are 5.3377, 11.2163 and 5.8592 Å and the angles 90.00°, 110.72° and 90.00°. Symmetry generates all atoms from Mo at (0.0000, 0.0591, 0.2500), P at (0.2211, 0.4054, 0.3167) and P at (0.2226, 0.2778, 0.8108).

2.
Entry from Alexandria: an optimized crystal structure of BaMgZnPd (PBE-GGA).

As for the calculated volume: 27.0 Å³/atom. For the total energy, the calculation gives -23.4 eV per cell. Its crystal system is monoclinic.

The structure belongs to space group Cm (No. 8); the cell edges are 8.0788, 4.6705 and 6.3273 Å and the angles 90.00°, 115.23° and 90.00°. Symmetry generates all atoms from Ba at (0.0000, 0.0000, 0.0000), Mg at (0.0100, 0.5000, 0.5306), Zn at (0.3072, 0.5000, 0.4224) and Pd at (0.1863, 0.0000, 0.5601).

3.
Entry from Alexandria: an optimized crystal structure of ScBe (PBE-GGA).

As for the calculated volume: 16.5 Å³/atom. For the total energy, the calculation gives -59.6 eV per cell. Its crystal system is orthorhombic.

The structure belongs to space group Imm2 (No. 44); the cell edges are 3.7047, 9.4329 and 5.6730 Å and the angles 90.00°, 90.00° and 90.00°. Symmetry generates all atoms from Sc at (0.0000, 0.0000, 0.0000), Sc at (0.0000, 0.3071, 0.7936), Be at (0.0000, 0.0000, 0.5428) and Be at (0.0000, 0.3916, 0.2254).

4.
Entry from Alexandria: an optimized crystal structure of Mg6TlPb3 (PBE-GGA).

As for the calculated volume: 26.3 Å³/atom. For the total energy, the calculation gives -91.8 eV per cell. Its crystal system is orthorhombic.

The structure belongs to space group Cmc2_1 (No. 36); the cell edges are 11.2899, 15.7394 and 5.9148 Å and the angles 90.00°, 90.00° and 90.00°. Symmetry generates all atoms from Mg at (0.0000, 0.9998, 0.0000), Mg at (0.0000, 0.2443, 0.2514), Mg at (0.1460, 0.4191, 0.2544), Mg at (0.2501, 0.2504, 0.0019), Tl at (0.0000, 0.1679, 0.7512), Pb at (0.0000, 0.3768, 0.7542) and Pb at (0.2050, 0.0841, 0.2499).

5.
Entry from Alexandria: an optimized crystal structure of TcOs2NF (PBE-GGA).

As for the calculated volume: 14.4 Å³/atom. For the total energy, the calculation gives -29.8 eV per cell. Its crystal system is tetragonal. Its formation energy without anion corrections is 13.25 eV per formula unit.

The structure belongs to space group P4/mmm (No. 123); the cell edges are 4.2143, 4.2143 and 4.0439 Å and the angles 90.00°, 90.00° and 90.00°. Symmetry generates all atoms from Tc at (0.0000, 0.0000, 0.0000), Os at (0.0000, 0.5000, 0.5000), N at (0.5000, 0.5000, 0.0000) and F at (0.0000, 0.0000, 0.5000).

6.
Entry from Alexandria: an optimized crystal structure of SmEuIr2 (PBE-GGA).

As for the calculated volume: 21.5 Å³/atom. For the total energy, the calculation gives -34.4 eV per cell. Its crystal system is tetragonal.

The structure belongs to space group P4/mmm (No. 123); the cell edges are 3.3944, 3.3944 and 7.4633 Å and the angles 90.00°, 90.00° and 90.00°. Symmetry generates all atoms from Sm at (0.0000, 0.0000, 0.0000), Eu at (0.0000, 0.0000, 0.5000) and Ir at (0.5000, 0.5000, 0.2391).

7.
Entry from Alexandria: an optimized crystal structure of TaFe2Rh2 (PBE-GGA).

As for the calculated volume: 14.4 Å³/atom. For the total energy, the calculation gives -87.1 eV per cell. Its crystal system is tetragonal.

The structure belongs to space group P4/mbm (No. 127); the cell edges are 7.1355, 7.1355 and 2.8270 Å and the angles 90.00°, 90.00° and 90.00°. Symmetry generates all atoms from Ta at (0.0000, 0.0000, 0.0000), Fe at (0.1641, 0.3359, 0.5000) and Rh at (0.1343, 0.6343, 0.0000).

8.
Entry from Alexandria: an optimized crystal structure of ScCr3Sb (PBE-GGA).

As for the calculated volume: 21.1 Å³/atom. For the total energy, the calculation gives -31.8 eV per cell. Its crystal system is cubic. Its formation energy without anion corrections is 7.57 eV per formula unit.

The structure belongs to space group Pm-3m (No. 221); the cell edges are 4.7274, 4.7274 and 4.7274 Å and the angles 90.00°, 90.00° and 90.00°. Symmetry generates all atoms from Sc at (0.0000, 0.0000, 0.0000), Cr at (0.0000, 0.0000, 0.5000) and Sb at (0.5000, 0.5000, 0.5000).

9.
Entry from Alexandria: an optimized crystal structure of ZnFeBi2 (PBE-GGA).

As for the calculated volume: 29.0 Å³/atom. For the total energy, the calculation gives -60.1 eV per cell. Its crystal system is tetragonal.

The structure belongs to space group I-42d (No. 122); the cell edges are 6.1039, 6.1039 and 12.4612 Å and the angles 90.00°, 90.00° and 90.00°. Symmetry generates all atoms from Zn at (0.0000, 0.0000, 0.0000), Fe at (0.0000, 0.0000, 0.5000) and Bi at (0.2057, 0.2500, 0.6250).

10.
Entry from Alexandria: an optimized crystal structure of AlReNi2 (PBE-GGA).

As for the calculated volume: 12.7 Å³/atom. For the total energy, the calculation gives -57.0 eV per cell. Its crystal system is monoclinic.

The structure belongs to space group Cm (No. 8); the cell edges are 8.5587, 2.6338 and 4.5777 Å and the angles 90.00°, 101.06° and 90.00°. Symmetry generates all atoms from Al at (0.0000, 0.0000, 0.0000), Re at (0.2541, 0.5000, 0.3048), Ni at (0.0051, 0.5000, 0.5220) and Ni at (0.2574, 0.0000, 0.7925).

11.
Entry from Alexandria: an optimized crystal structure of PrPaPd4 (PBE-GGA).

As for the calculated volume: 21.3 Å³/atom. For the total energy, the calculation gives -152.9 eV per cell. Its crystal system is monoclinic.

The structure belongs to space group C2/m (No. 12); the cell edges are 14.7379, 6.5138 and 5.6415 Å and the angles 90.00°, 109.11° and 90.00°. Symmetry generates all atoms from Pr at (0.1933, 0.0000, 0.2638), Pa at (0.0678, 0.5000, 0.3493), Pd at (0.0000, 0.2057, 0.0000), Pd at (0.1228, 0.2153, 0.7006) and Pd at (0.1947, 0.5000, 0.1153).

12.
Entry from Alexandria: an optimized crystal structure of AcPrSm6Dy2 (PBE-GGA).

As for the calculated volume: 35.2 Å³/atom. For the total energy, the calculation gives -180.7 eV per cell. Its crystal system is monoclinic.

The structure belongs to space group C2/c (No. 15); the cell edges are 9.3536, 15.4622 and 9.7790 Å and the angles 90.00°, 95.97° and 90.00°. Symmetry generates all atoms from Ac at (0.0000, 0.0305, 0.2500), Pr at (0.0000, 0.4088, 0.7500), Sm at (0.0656, 0.1844, 0.9442), Sm at (0.0990, 0.3911, 0.1190), Sm at (0.2127, 0.2310, 0.3210) and Dy at (0.2465, 0.4450, 0.4527).

13.
Entry from Alexandria: an optimized crystal structure of Tm3ZnSi4 (PBE-GGA).

As for the calculated volume: 21.6 Å³/atom. For the total energy, the calculation gives -80.1 eV per cell. Its crystal system is orthorhombic. Its formation energy without anion corrections is -3.69 eV per formula unit.

The structure belongs to space group Immm (No. 71); the cell edges are 4.1572, 5.7211 and 14.5287 Å and the angles 90.00°, 90.00° and 90.00°. Symmetry generates all atoms from Tm at (0.0000, 0.0000, 0.0000), Tm at (0.0000, 0.5000, 0.1900), Zn at (0.0000, 0.0000, 0.5000) and Si at (0.0000, 0.2986, 0.3753).

14.
Entry from Alexandria: an optimized crystal structure of HfRuC3 (PBE-GGA).

As for the calculated volume: 14.3 Å³/atom. For the total energy, the calculation gives -34.4 eV per cell. Its crystal system is cubic.

The structure belongs to space group Pm-3m (No. 221); the cell edges are 4.1530, 4.1530 and 4.1530 Å and the angles 90.00°, 90.00° and 90.00°. Symmetry generates all atoms from Hf at (0.0000, 0.0000, 0.0000), Ru at (0.5000, 0.5000, 0.5000) and C at (0.0000, 0.0000, 0.5000).

15.
Entry from Alexandria: an optimized crystal structure of Ga3SCl (PBE-GGA).

As for the calculated volume: 31.5 Å³/atom. For the total energy, the calculation gives -14.8 eV per cell. Its crystal system is cubic. Its formation energy without anion corrections is 0.28 eV per formula unit.

The structure belongs to space group Pm-3m (No. 221); the cell edges are 5.3994, 5.3994 and 5.3994 Å and the angles 90.00°, 90.00° and 90.00°. Symmetry generates all atoms from Ga at (0.0000, 0.0000, 0.5000), S at (0.0000, 0.0000, 0.0000) and Cl at (0.5000, 0.5000, 0.5000).

16.
Entry from Alexandria: an optimized crystal structure of YCrAg2 (PBE-GGA).

As for the calculated volume: 20.5 Å³/atom. For the total energy, the calculation gives -21.1 eV per cell. Its crystal system is tetragonal.

The structure belongs to space group P4mm (No. 99); the cell edges are 3.5975, 3.5975 and 6.3472 Å and the angles 90.00°, 90.00° and 90.00°. Symmetry generates all atoms from Y at (0.0000, 0.0000, 0.0000), Cr at (0.5000, 0.5000, 0.7197), Ag at (0.0000, 0.0000, 0.5102) and Ag at (0.5000, 0.5000, 0.2753).